Mo3RuO | Alexandria | GGA+U | optimized geometry; energy above the lowest structure with this stoichiometry = 687 kJ/mol of formula units; DOS at the Fermi energy = 4.0 states/eV/cell
1.0
-4.4719 -2.2229 0.3402
1.2379 -3.0656 -3.7583
1.8773 -3.2736 3.2885
Ru Mo O
1 3 1
direct
0.0000 0.0000 0.0000
0.0000 0.5000 0.0000
0.0000 0.0000 0.5000
0.5000 0.0000 0.0000
0.5000 0.5000 0.5000